Below is an optimized crystal structure of DyGe3Os, with properties calculated at the PBE level.

abc: 6.197 5.684 5.708
angles: 90.00 90.00 90.00
Fractional positions:
Dy1 0.000 0.139 0.000
Dy2 0.500 0.861 0.500
Ge1 0.000 0.915 0.549
Ge2 0.234 0.326 0.456
Ge3 0.266 0.674 0.956
Ge4 0.500 0.085 0.049
Ge5 0.734 0.674 0.956
Ge6 0.766 0.326 0.456
Os1 0.000 0.616 0.261
Os2 0.500 0.384 0.761

Output
- DOS at the Fermi energy (states/eV/cell) = 5.12
- total DFT energy (no corrections) (eV per atom) = -6.260